CsPuTeI2 | PBE-GGA | relaxed

Geometry as POSCAR:
```
CsPuTeI2
1.0
-0.689 -4.200 -1.565
7.300 -1.828 8.262
-6.881 -1.049 5.848
Cs Pu Te I
2 2 2 4
direct
0.710 0.419 0.750 Cs
0.290 0.581 0.250 Cs
0.000 0.000 0.000 Pu
0.000 0.000 0.500 Pu
0.506 0.012 0.750 Te
0.494 0.988 0.250 Te
0.140 0.280 0.026 I
0.860 0.720 0.974 I
0.140 0.280 0.474 I
0.860 0.720 0.526 I
```

Formation energy from raw total energies: -1.1513 eV/atom
VASP energy: -54.367 eV for the cell shown
Mass density: 5583 kg/m3
DOS at the Fermi energy: 31.57 states/eV per cell

CsPu2TlI8 | PBE-GGA | relaxed

Geometry as POSCAR:
```
CsPu2TlI8
1.0
-8.027 1.609 2.362
-2.555 -6.034 -3.881
1.145 -5.450 7.674
Cs Pu Tl I
1 2 1 8
direct
0.000 0.000 0.500 Cs
0.500 0.500 0.754 Pu
0.500 0.500 0.246 Pu
0.000 0.000 0.000 Tl
0.188 0.705 0.233 I
0.623 0.739 0.999 I
0.811 0.295 0.232 I
0.812 0.295 0.767 I
0.377 0.261 0.001 I
0.189 0.705 0.768 I
0.612 0.733 0.499 I
0.388 0.267 0.501 I
```

Formation energy from raw total energies: -1.0492 eV/atom
VASP energy: -56.875 eV for the cell shown
Mass density: 4969 kg/m3
DOS at the Fermi energy: 27.82 states/eV per cell

Cs2PuTlI6 | PBE-GGA | relaxed

Geometry as POSCAR:
```
Cs2PuTlI6
1.0
-7.042 2.401 -4.693
-3.674 -8.892 0.964
-5.983 3.648 10.844
Cs Pu Tl I
4 2 2 12
direct
0.500 0.804 0.215 Cs
0.000 0.196 0.715 Cs
0.500 0.804 0.785 Cs
0.000 0.196 0.285 Cs
0.500 0.215 0.500 Pu
0.000 0.785 0.000 Pu
0.000 0.709 0.500 Tl
0.500 0.291 0.000 Tl
0.500 0.213 0.260 I
0.500 0.213 0.740 I
0.000 0.787 0.240 I
0.000 0.787 0.760 I
0.259 0.980 0.500 I
0.741 0.980 0.500 I
0.244 0.432 0.500 I
0.756 0.432 0.500 I
0.744 0.568 0.000 I
0.256 0.568 0.000 I
0.241 0.020 0.000 I
0.759 0.020 0.000 I
```

Formation energy from raw total energies: -1.1817 eV/atom
VASP energy: -79.046 eV for the cell shown
Mass density: 4462 kg/m3
DOS at the Fermi energy: 29.32 states/eV per cell

Cs2PuTlI5 | PBE-GGA | relaxed

Geometry as POSCAR:
```
Cs2PuTlI5
1.0
-0.916 6.009 -0.900
-4.412 -0.032 4.276
8.981 2.760 9.287
Cs Pu Tl I
2 1 1 5
direct
0.500 0.500 0.285 Cs
0.500 0.500 0.715 Cs
0.000 0.000 0.500 Pu
0.000 0.000 0.000 Tl
0.000 0.500 0.500 I
0.500 0.000 0.500 I
0.000 0.000 0.742 I
0.000 0.000 0.258 I
0.500 0.500 0.000 I
```

Formation energy from raw total energies: -1.1192 eV/atom
VASP energy: -36.228 eV for the cell shown
Mass density: 4490 kg/m3
DOS at the Fermi energy: 18.48 states/eV per cell

CsPuVI6 | PBE-GGA | relaxed

Geometry as POSCAR:
```
CsPuVI6
1.0
-2.659 7.235 -0.816
-5.818 1.460 -4.909
-5.750 -1.391 6.403
Cs Pu V I
1 1 1 6
direct
0.000 0.000 0.000 Cs
0.667 0.667 0.500 Pu
0.333 0.333 0.500 V
0.027 0.351 0.307 I
0.351 0.027 0.693 I
0.621 0.351 0.693 I
0.027 0.621 0.693 I
0.351 0.621 0.307 I
0.621 0.028 0.307 I
```

Formation energy from raw total energies: -0.9558 eV/atom
VASP energy: -42.207 eV for the cell shown
Mass density: 4354 kg/m3
DOS at the Fermi energy: 22.21 states/eV per cell

CsYPuI6 | PBE-GGA | relaxed

Geometry as POSCAR:
```
CsYPuI6
1.0
8.025 0.000 0.000
4.012 6.950 0.000
0.000 0.000 8.761
Cs Y Pu I
1 1 1 6
direct
0.000 0.000 0.000 Cs
0.333 0.333 0.500 Y
0.667 0.667 0.500 Pu
0.013 0.360 0.293 I
0.360 0.013 0.707 I
0.626 0.360 0.707 I
0.013 0.627 0.707 I
0.360 0.627 0.293 I
0.627 0.013 0.293 I
```

Formation energy from raw total energies: -1.3234 eV/atom
VASP energy: -42.860 eV for the cell shown
Mass density: 4171 kg/m3
DOS at the Fermi energy: 19.76 states/eV per cell

CsPuZnI6 | PBE-GGA | relaxed

Geometry as POSCAR:
```
CsPuZnI6
1.0
-4.606 -4.739 -4.234
3.055 -6.298 -3.550
-1.585 -4.714 7.002
Cs Pu Zn I
1 1 1 6
direct
0.000 0.000 0.000 Cs
0.667 0.667 0.500 Pu
0.333 0.333 0.500 Zn
0.020 0.361 0.303 I
0.361 0.020 0.697 I
0.618 0.361 0.697 I
0.020 0.618 0.697 I
0.361 0.618 0.303 I
0.618 0.020 0.303 I
```

Formation energy from raw total energies: -0.9572 eV/atom
VASP energy: -34.375 eV for the cell shown
Mass density: 4363 kg/m3
DOS at the Fermi energy: 12.22 states/eV per cell

Cs12Rb6I | PBE-GGA | relaxed

Geometry as POSCAR:
```
Cs12Rb6I
1.0
12.758 -1.179 -1.488
-1.528 12.721 -1.488
-1.148 -1.179 12.793
Cs Rb I
12 6 1
direct
0.298 0.903 0.454 Cs
0.903 0.454 0.298 Cs
0.454 0.298 0.903 Cs
0.702 0.097 0.546 Cs
0.097 0.546 0.702 Cs
0.546 0.702 0.097 Cs
0.042 0.943 0.703 Cs
0.297 0.958 0.057 Cs
0.057 0.297 0.958 Cs
0.958 0.057 0.297 Cs
0.703 0.042 0.943 Cs
0.943 0.703 0.042 Cs
0.291 0.297 0.536 Rb
0.703 0.464 0.709 Rb
0.464 0.709 0.703 Rb
0.709 0.703 0.464 Rb
0.297 0.536 0.291 Rb
0.536 0.291 0.297 Rb
0.000 0.000 0.000 I
```

Formation energy from raw total energies: -0.1072 eV/atom
VASP energy: -19.634 eV for the cell shown
Mass density: 1851 kg/m3
DOS at the Fermi energy: 19.02 states/eV per cell

Which of these has the highest formation energy from raw total energies?
Cs12Rb6I

What did the fifth record say?
CsPuVI6 | PBE-GGA | relaxed

Geometry as POSCAR:
```
CsPuVI6
1.0
-2.659 7.235 -0.816
-5.818 1.460 -4.909
-5.750 -1.391 6.403
Cs Pu V I
1 1 1 6
direct
0.000 0.000 0.000 Cs
0.667 0.667 0.500 Pu
0.333 0.333 0.500 V
0.027 0.351 0.307 I
0.351 0.027 0.693 I
0.621 0.351 0.693 I
0.027 0.621 0.693 I
0.351 0.621 0.307 I
0.621 0.028 0.307 I
```

Formation energy from raw total energies: -0.9558 eV/atom
VASP energy: -42.207 eV for the cell shown
Mass density: 4354 kg/m3
DOS at the Fermi energy: 22.21 states/eV per cell